w:
Here is a geometry-optimized Nd2Ho12Th5 structure from Alexandria via LeMat-Bulk. Energies are from PBE.

## Properties
The symmetry is No. 12. The value obtained for the total magnetization is 0.00 μB per formula unit.

Lattice parameters (Å, degrees): 6.980 11.484 8.639 72.21 90.00 107.69
Atoms (fractional coordinates):
Nd  0.253  0.000  0.000
Nd  0.747  0.000  0.000
Ho  0.052  0.600  0.789
Ho  0.367  0.218  0.619
Ho  0.849  0.697  0.081
Ho  0.851  0.218  0.619
Ho  0.149  0.782  0.381
Ho  0.548  0.600  0.789
Ho  0.948  0.400  0.211
Ho  0.547  0.095  0.311
Ho  0.452  0.400  0.211
Ho  0.633  0.782  0.381
Ho  0.453  0.905  0.689
Ho  0.151  0.303  0.919
Th  0.654  0.307  0.907
Th  0.752  0.503  0.494
Th  0.346  0.693  0.093
Th  0.248  0.497  0.506
Th  0.000  0.000  0.500

=====

x:
Here is a geometry-optimized Nd2Ho12Th5 structure from Alexandria via LeMat-Bulk. Energies are from PBE.

## Properties
The symmetry is No. 12. The value obtained for the total magnetization is 0.00 μB per formula unit.

Lattice parameters (Å, degrees): 7.027 9.936 10.249 68.68 90.00 110.71
Atoms (fractional coordinates):
Th  0.000  0.000  0.500
Th  0.681  0.362  0.788
Th  0.812  0.623  0.180
Th  0.188  0.377  0.820
Th  0.319  0.638  0.212
Ho  0.084  0.667  0.518
Ho  0.501  0.003  0.670
Ho  0.031  0.061  0.760
Ho  0.583  0.667  0.518
Ho  0.912  0.315  0.136
Ho  0.916  0.333  0.482
Ho  0.417  0.333  0.482
Ho  0.404  0.315  0.136
Ho  0.088  0.685  0.864
Ho  0.596  0.685  0.864
Ho  0.499  0.997  0.330
Ho  0.969  0.939  0.240
Nd  0.716  0.000  0.000
Nd  0.284  0.000  0.000

=====

Relative energies, unit meV per atom: w 0; x 56

=====

w:
Here is a geometry-optimized NdHo6Th3 structure from Alexandria via LeMat-Bulk. Energies are from PBE.

## Properties
The symmetry is No. 11. The value obtained for the total magnetization is 0.00 μB per formula unit.

Lattice parameters (Å, degrees): 3.493 13.147 14.234 82.49 90.01 89.99
Atoms (fractional coordinates):
Ho  0.750  0.747  0.704
Ho  0.750  0.225  0.702
Ho  0.250  0.877  0.500
Ho  0.250  0.575  0.897
Ho  0.750  0.123  0.500
Ho  0.750  0.629  0.479
Ho  0.250  0.775  0.298
Ho  0.250  0.253  0.296
Ho  0.250  0.940  0.099
Ho  0.750  0.060  0.901
Ho  0.750  0.425  0.103
Ho  0.250  0.371  0.521
Nd  0.250  0.316  0.892
Nd  0.750  0.684  0.108
Th  0.250  0.826  0.897
Th  0.750  0.174  0.103
Th  0.750  0.483  0.706
Th  0.250  0.517  0.294
Th  0.250  0.995  0.700
Th  0.750  0.005  0.300

=====

x:
Here is a geometry-optimized NdHo6Th3 structure from Alexandria via LeMat-Bulk. Energies are from PBE.

## Properties
The symmetry is No. 11. The value obtained for the total magnetization is 0.00 μB per formula unit.

Lattice parameters (Å, degrees): 3.511 12.984 14.336 100.03 90.00 90.00
Atoms (fractional coordinates):
Ho  0.250  0.873  0.512
Ho  0.250  0.653  0.881
Ho  0.250  0.272  0.703
Ho  0.750  0.127  0.488
Ho  0.750  0.498  0.689
Ho  0.750  0.779  0.715
Ho  0.250  0.221  0.285
Ho  0.750  0.807  0.073
Ho  0.750  0.728  0.297
Ho  0.250  0.193  0.927
Ho  0.250  0.502  0.311
Ho  0.750  0.347  0.119
Th  0.250  0.377  0.493
Th  0.750  0.423  0.903
Th  0.250  0.577  0.097
Th  0.250  0.925  0.904
Th  0.750  0.075  0.096
Th  0.750  0.623  0.507
Nd  0.250  0.963  0.275
Nd  0.750  0.037  0.725

=====

Relative energies, unit meV per atom: w 34; x 0

=====

w:
Here is a geometry-optimized NdHo2Th structure from Alexandria via LeMat-Bulk. Energies are from PBE.

## Properties
The symmetry is No. 65. The value obtained for the total magnetization is 0.00 μB per formula unit.

Lattice parameters (Å, degrees): 3.581 6.162 6.162 108.61 90.00 90.00
Atoms (fractional coordinates):
Ho  0.000  0.500  0.000
Ho  0.000  0.000  0.500
Th  0.500  0.000  0.000
Nd  0.500  0.500  0.500

=====

x:
Here is a geometry-optimized NdHo2Th structure from Alexandria via LeMat-Bulk. Energies are from PBE.

## Properties
The symmetry is No. 166. The value obtained for the total magnetization is 0.00 μB per formula unit.

Lattice parameters (Å, degrees): 3.588 3.588 11.734 81.21 81.21 60.00
Atoms (fractional coordinates):
Ho  0.748  0.748  0.757
Ho  0.252  0.252  0.243
Nd  0.500  0.500  0.500
Th  0.000  0.000  0.000

=====

Relative energies, unit meV per atom: w 14; x 0

=====

w:
Here is a geometry-optimized NdHo2Th structure from Alexandria via LeMat-Bulk. Energies are from PBE.

## Properties
The symmetry is No. 225. The value obtained for the total magnetization is 0.00 μB per formula unit.

Lattice parameters (Å, degrees): 5.692 5.692 5.692 60.00 60.00 60.00
Atoms (fractional coordinates):
Ho  0.750  0.750  0.750
Ho  0.250  0.250  0.250
Nd  0.500  0.500  0.500
Th  0.000  0.000  0.000

=====

x:
Here is a geometry-optimized NdHo2Th structure from Alexandria via LeMat-Bulk. Energies are from PBE.

## Properties
The symmetry is No. 123. The value obtained for the total magnetization is 0.00 μB per formula unit.

Lattice parameters (Å, degrees): 4.986 5.085 5.085 90.00 90.00 90.00
Atoms (fractional coordinates):
Ho  0.000  0.000  0.500
Ho  0.000  0.500  0.000
Nd  0.500  0.000  0.000
Th  0.500  0.500  0.500

=====

Relative energies, unit meV per atom: w 94; x 0